NbIn3N: relaxed, GGA-PBE.

a = 4.602 Å, b = 4.602 Å, c = 4.602 Å
α = 90.00°, β = 90.00°, γ = 90.00°
Space group Pm-3m (No. 221)
Unique sites:
Nb: 0.000 0.000 0.000 (multiplicity 1)
In: 0.000 0.500 0.500 (multiplicity 3)
N: 0.500 0.500 0.500 (multiplicity 1)

Output
Crystal system: cubic
Formation energy (no corrections) in eV/f.u.: 3.94
E_tot in eV/atom: -4.5346
Total moment in μB/cell: 0.9